The following is a DFT calculation (PBE) of an optimized crystal structure of BaGaOsF2.

Lattice parameters (Å, degrees): 4.637 4.637 4.789 90.00 90.00 90.00
Positions (direct):
Ba 0.000 0.000 0.000
Ga 0.500 0.500 0.000
Os 0.500 0.500 0.500
F 0.000 0.500 0.500
F 0.500 0.000 0.500

**Total energy**: -4.755 eV/atom
**DOS(E_F)**: 2.5 states/eV per cell
**Total magnetic moment**: 0.73 μB/cell
**Space-group type**: P4/mmm (123)